[1]
Entry from the Alexandria database: LaCl2F after structural relaxation (GGA-PBE).

Calculated values
- V: 19.70 A^3/atom
- Raw formation energy: -58.19 kcal/mol of atoms

Lattice parameters (Å, degrees): 6.8053 6.8053 6.8053 90.00 90.00 90.00
Space group Fm-3m (No. 225)
Inequivalent atoms, fractional coordinates:
La  0.0000  0.0000  0.0000 (multiplicity 4)
Cl  0.2500  0.2500  0.2500 (multiplicity 8)
F  0.0000  0.0000  0.5000 (multiplicity 4)

=====

[2]
Entry from the Alexandria database: La4Cl3F7 after structural relaxation (GGA-PBE).

Calculated values
- V: 18.61 A^3/atom
- Raw formation energy: -77.88 kcal/mol of atoms

Lattice parameters (Å, degrees): 16.6985 3.9036 9.6921 90.00 124.43 90.00
Space group C2/m (No. 12)
Inequivalent atoms, fractional coordinates:
La  0.0802  0.0000  0.2860 (multiplicity 4)
La  0.1758  0.5000  0.7680 (multiplicity 4)
Cl  0.0000  0.0000  0.5000 (multiplicity 2)
Cl  0.1902  0.5000  0.2275 (multiplicity 4)
F  0.0000  0.0000  0.0000 (multiplicity 2)
F  0.0303  0.5000  0.7831 (multiplicity 4)
F  0.1499  0.5000  0.4933 (multiplicity 4)
F  0.1822  0.0000  0.9327 (multiplicity 4)

=====

[3]
Entry from the Alexandria database: LaClF after structural relaxation (GGA-PBE).

Calculated values
- V: 21.65 A^3/atom
- Raw formation energy: -62.99 kcal/mol of atoms

Lattice parameters (Å, degrees): 4.4619 4.4619 13.0504 90.00 90.00 90.00
Space group I4/mmm (No. 139)
Inequivalent atoms, fractional coordinates:
La  0.0000  0.0000  0.1405 (multiplicity 4)
Cl  0.0000  0.5000  0.0000 (multiplicity 4)
F  0.0000  0.5000  0.2500 (multiplicity 4)

=====

[4]
Entry from the Alexandria database: LaCl6F2 after structural relaxation (GGA-PBE).

Calculated values
- V: 30.70 A^3/atom
- Raw formation energy: -33.27 kcal/mol of atoms

Lattice parameters (Å, degrees): 3.7798 7.6714 10.3974 111.26 99.76 90.02
Space group P-1 (No. 2)
Inequivalent atoms, fractional coordinates:
La  0.0000  0.0000  0.0000 (multiplicity 1)
Cl  0.1371  0.1813  0.2993 (multiplicity 2)
Cl  0.1400  0.5205  0.3071 (multiplicity 2)
Cl  0.1447  0.7943  0.3170 (multiplicity 2)
F  0.4954  0.1718  0.9898 (multiplicity 2)

=====

[5]
Entry from the Alexandria database: LaClF after structural relaxation (GGA-PBE).

Calculated values
- V: 20.39 A^3/atom
- Raw formation energy: -64.74 kcal/mol of atoms

Lattice parameters (Å, degrees): 4.3110 4.3110 3.8015 90.00 90.00 120.00
Space group P3m1 (No. 156)
Inequivalent atoms, fractional coordinates:
La  0.0000  0.0000  0.0000 (multiplicity 1)
Cl  0.3333  0.6667  0.5009 (multiplicity 1)
F  0.6667  0.3333  0.0017 (multiplicity 1)

=====

[6]
Entry from the Alexandria database: LaCl2F after structural relaxation (GGA-PBE).

Calculated values
- V: 22.19 A^3/atom
- Raw formation energy: -63.59 kcal/mol of atoms

Lattice parameters (Å, degrees): 8.5477 8.7550 9.4873 90.00 90.00 90.00
Space group Fmmm (No. 69)
Inequivalent atoms, fractional coordinates:
La  0.0000  0.2150  0.0000 (multiplicity 8)
Cl  0.1828  0.0000  0.5000 (multiplicity 8)
Cl  0.2500  0.2500  0.2500 (multiplicity 8)
F  0.0000  0.0000  0.1389 (multiplicity 8)

=====

Which formula does entry 4 have? LaCl6F2

=====

Repeat the third record exactly.
Entry from the Alexandria database: LaClF after structural relaxation (GGA-PBE).

Calculated values
- V: 21.65 A^3/atom
- Raw formation energy: -62.99 kcal/mol of atoms

Lattice parameters (Å, degrees): 4.4619 4.4619 13.0504 90.00 90.00 90.00
Space group I4/mmm (No. 139)
Inequivalent atoms, fractional coordinates:
La  0.0000  0.0000  0.1405 (multiplicity 4)
Cl  0.0000  0.5000  0.0000 (multiplicity 4)
F  0.0000  0.5000  0.2500 (multiplicity 4)

=====

Among the records above, which one has the highest V? LaCl6F2

=====

Please write out number 4 again, unchanged.
Entry from the Alexandria database: LaCl6F2 after structural relaxation (GGA-PBE).

Calculated values
- V: 30.70 A^3/atom
- Raw formation energy: -33.27 kcal/mol of atoms

Lattice parameters (Å, degrees): 3.7798 7.6714 10.3974 111.26 99.76 90.02
Space group P-1 (No. 2)
Inequivalent atoms, fractional coordinates:
La  0.0000  0.0000  0.0000 (multiplicity 1)
Cl  0.1371  0.1813  0.2993 (multiplicity 2)
Cl  0.1400  0.5205  0.3071 (multiplicity 2)
Cl  0.1447  0.7943  0.3170 (multiplicity 2)
F  0.4954  0.1718  0.9898 (multiplicity 2)